<P>
# Li5PbAu | Alexandria | PBE | optimized geometry
data_Li5PbAu
_cell_length_a 6.0272
_cell_length_b 6.1096
_cell_length_c 7.2803
_cell_angle_alpha 90.00
_cell_angle_beta 90.00
_cell_angle_gamma 90.00
_space_group_name_H-M_alt 'C m m m'
_space_group_IT_number 65
_space_group_name_Hall '-C 2 2'
loop_
_atom_site_label
_atom_site_type_symbol
_atom_site_fract_x
_atom_site_fract_y
_atom_site_fract_z
Li1 Li 0.0000 0.0000 0.0000
Li2 Li 0.2500 0.2500 0.2395
Pb1 Pb 0.0000 0.0000 0.5000
Au1 Au 0.0000 0.5000 0.0000
# Crystal system: orthorhombic



<Q>
# Li5PbAu | Alexandria | PBE | optimized geometry
data_Li5PbAu
_cell_length_a 7.0463
_cell_length_b 7.7413
_cell_length_c 9.8083
_cell_angle_alpha 90.00
_cell_angle_beta 110.00
_cell_angle_gamma 90.00
_space_group_name_H-M_alt 'C 1 2/c 1'
_space_group_IT_number 15
loop_
_space_group_symop_operation_xyz
'x,y,z'
'-x,-y,-z'
'-x,y,-z+1/2'
'x,-y,z+1/2'
'x+1/2,y+1/2,z'
'-x+1/2,-y+1/2,-z'
'-x+1/2,y+1/2,-z+1/2'
'x+1/2,-y+1/2,z+1/2'
loop_
_atom_site_label
_atom_site_type_symbol
_atom_site_fract_x
_atom_site_fract_y
_atom_site_fract_z
Li1 Li 0.0000 0.1513 0.2500
Li2 Li 0.1164 0.3584 0.5296
Li3 Li 0.2052 0.1960 0.8351
Pb1 Pb 0.0000 0.0000 0.0000
Au1 Au 0.0000 0.4954 0.2500
# Crystal system: monoclinic



Which structure is the most stable? The one labeled <Q>.